No. 1
A plane-wave DFT calculation with PBE was carried out for an optimized crystal structure of P3SeI.

```
P3SeI
1.0
-4.735 -0.340 1.161
1.204 -0.869 4.656
-0.117 4.798 0.925
P I Se
3 1 1
Cartesian
-2.368 -0.170 0.581
0.602 -0.434 2.328
-0.059 2.399 0.463
-1.824 1.795 3.372
0.000 0.000 0.000
```

**Space group**: Pm-3m
**Offset from the most stable computed form**: 0.000 eV/atom
**Formation energy from raw total energies**: 1.17 eV/atom

---

No. 2
A plane-wave DFT calculation with PBE was carried out for an optimized crystal structure of P2Se4I3.

```
P2Se4I3
1.0
8.804 -0.251 -0.180
-0.079 8.889 -0.751
-0.079 2.153 8.657
P Se I
4 8 6
Cartesian
0.297 6.976 6.804
3.947 2.227 3.405
8.349 3.815 0.922
4.699 8.564 4.322
4.020 8.899 2.128
3.110 7.350 5.530
7.512 7.478 5.087
8.423 4.757 7.649
5.536 3.441 2.196
1.134 3.313 2.639
0.224 6.035 0.078
4.626 1.892 5.598
8.648 9.854 5.596
4.400 2.193 0.112
2.122 6.053 3.077
6.524 4.738 4.649
4.246 8.598 7.615
-0.002 0.938 2.130
```

**Space group**: C2/c
**Formation energy from raw total energies**: 0.05 eV/atom

---

No. 3
A plane-wave DFT calculation with PBE was carried out for an optimized crystal structure of P4Se3I2.

```
P4Se3I2
1.0
-1.670 -8.224 9.419
6.082 -8.683 -6.838
5.608 11.050 2.363
I P Se
8 16 12
Cartesian
0.937 -2.712 9.451
0.318 -4.050 4.547
5.105 -2.523 3.561
3.408 0.811 0.892
6.715 -7.061 4.112
5.928 -1.970 8.584
5.059 -8.212 -3.403
4.859 2.747 8.287
5.913 -6.265 -2.088
2.762 -4.105 0.244
7.926 5.156 1.387
6.496 -7.317 -0.234
0.719 -5.743 2.751
5.535 -8.660 5.629
3.404 1.918 5.107
6.581 1.360 -0.703
4.688 -10.507 2.439
3.276 3.591 6.545
5.315 -0.381 -0.199
5.172 6.244 3.479
3.559 -7.675 5.716
8.491 -1.744 2.645
6.707 -0.621 3.309
3.615 -12.109 3.519
4.132 -10.876 0.230
3.861 -5.837 6.997
7.285 -5.371 0.681
7.933 -5.778 -3.093
7.209 -0.044 5.486
5.785 4.582 2.028
0.789 -3.023 0.461
2.914 -5.376 2.143
4.452 -1.030 -2.238
8.123 0.007 -1.720
3.623 -13.885 2.119
2.283 0.209 6.074
```

**Space group**: I-42d
**Offset from the most stable computed form**: 0.000 eV/atom
**Formation energy from raw total energies**: -0.08 eV/atom